Entry 1:
# KY2Tc GGA-PBE optimized geometry
data_KY2Tc
_cell_length_a 3.4387
_cell_length_b 3.4387
_cell_length_c 34.5881
_cell_angle_alpha 90.00
_cell_angle_beta 90.00
_cell_angle_gamma 120.00
_space_group_name_H-M_alt 'R 3 m'
_space_group_IT_number 160
_space_group_name_Hall 'R 3 -2"'
loop_
_atom_site_label
_atom_site_type_symbol
_atom_site_fract_x
_atom_site_fract_y
_atom_site_fract_z
_atom_site_occupancy
K1 K 0.0000 0.0000 0.0000 1
Y1 Y 0.0000 0.0000 0.5320 1
Y2 Y 0.0000 0.0000 0.7749 1
Tc1 Tc 0.0000 0.0000 0.2543 1
# ΔE to the lowest computed polymorph	0.5674	eV per atom
# crystal system	trigonal


Entry 2:
# CeMgGe2Pt2 GGA-PBE optimized geometry
data_CeMgGe2Pt2
_cell_length_a 4.3710
_cell_length_b 4.3710
_cell_length_c 6.8708
_cell_angle_alpha 90.00
_cell_angle_beta 90.00
_cell_angle_gamma 120.00
_space_group_name_H-M_alt 'P -3 m 1'
_space_group_IT_number 164
_space_group_name_Hall '-P 3 2"'
loop_
_atom_site_label
_atom_site_type_symbol
_atom_site_fract_x
_atom_site_fract_y
_atom_site_fract_z
_atom_site_occupancy
Ce1 Ce 0.0000 0.0000 0.0000 1
Mg1 Mg 0.0000 0.0000 0.5000 1
Ge1 Ge 0.3333 0.6667 0.2745 1
Pt1 Pt 0.3333 0.6667 0.6966 1
# crystal system	trigonal


Entry 3:
# Sr2MgVB GGA-PBE optimized geometry
data_Sr2MgVB
_cell_length_a 5.824
_cell_length_b 5.824
_cell_length_c 4.147
_cell_angle_alpha 90.00
_cell_angle_beta 90.00
_cell_angle_gamma 90.00
_space_group_name_H-M_alt 'P 4/m m m'
_space_group_IT_number 123
_space_group_name_Hall '-P 4 2'
loop_
_atom_site_label
_atom_site_type_symbol
_atom_site_fract_x
_atom_site_fract_y
_atom_site_fract_z
_atom_site_occupancy
Sr1 Sr 0.000 0.500 0.000 1
Mg1 Mg 0.000 0.000 0.500 1
V1 V 0.500 0.500 0.500 1
B1 B 0.500 0.500 0.000 1
# ΔE to the lowest computed polymorph	0.0000	eV per atom
# crystal system	tetragonal


Number 1: DOS(E_F) 5.71 states/eV/f.u., raw total energy -5.41 eV per atom, energy relative to the elements 0.69 eV per atom. Number 2: DOS(E_F) 5.58 states/eV/f.u., raw total energy -5.66 eV per atom, energy relative to the elements -0.86 eV per atom. Number 3: DOS(E_F) 10.01 states/eV/f.u., raw total energy -3.63 eV per atom, energy relative to the elements 0.52 eV per atom.